P.
A plane-wave DFT calculation with SCAN was carried out for a PBEsol-optimized structure of Ni2IrRu.

Unit cell a=4.422 b=4.422 c=4.422 alpha=130.84 beta=130.84 gamma=72.07
Atoms (fractional coordinates):
1 Ni 0.250 0.750 0.500
2 Ni 0.750 0.250 0.500
3 Ir 0.000 0.000 0.000
4 Ru 0.500 0.500 0.000

Results
Magnetization   0.0 Bohr magnetons per cell

***

Q.
A plane-wave DFT calculation with SCAN was carried out for a PBEsol-optimized structure of Ni2IrRu.

Unit cell a=4.509 b=4.509 c=4.509 alpha=132.97 beta=132.97 gamma=68.69
Atoms (fractional coordinates):
1 Ni 0.000 0.000 0.000
2 Ni 0.750 0.250 0.500
3 Ir 0.250 0.750 0.500
4 Ru 0.500 0.500 0.000

Results
Magnetization   0.0 Bohr magnetons per cell

***

R.
A plane-wave DFT calculation with SCAN was carried out for a PBEsol-optimized structure of Ni2IrRu.

Unit cell a=2.639 b=2.639 c=6.975 alpha=90.00 beta=90.00 gamma=90.00
Atoms (fractional coordinates):
1 Ni 0.000 0.000 0.000
2 Ni 0.500 0.500 0.230
3 Ir 0.500 0.500 0.745
4 Ru 0.000 0.000 0.479

Results
Magnetization   1.6 Bohr magnetons per cell

***

Energetically preferred structure: Q | next structure: +7.0 kJ/mol of atoms

***

P.
A plane-wave DFT calculation with SCAN was carried out for a PBEsol-optimized structure of NiIrRu.

Unit cell a=5.703 b=5.703 c=5.703 alpha=153.02 beta=153.02 gamma=38.52
Atoms (fractional coordinates):
1 Ni 0.000 0.000 0.000
2 Ir 0.332 0.332 0.000
3 Ru 0.663 0.663 0.000

Results
Magnetization   0.6 Bohr magnetons per cell

***

Q.
A plane-wave DFT calculation with SCAN was carried out for a PBEsol-optimized structure of NiIrRu.

Unit cell a=4.499 b=4.499 c=4.499 alpha=145.50 beta=132.10 gamma=60.36
Atoms (fractional coordinates):
1 Ni 0.000 0.000 0.000
2 Ir 0.333 0.333 0.000
3 Ru 0.665 0.665 0.000

Results
Magnetization   0.0 Bohr magnetons per cell

***

Energetically preferred structure: Q | next structure: +9.1 kJ/mol of atoms

***

P.
A plane-wave DFT calculation with SCAN was carried out for a PBEsol-optimized structure of Ni2IrSe.

Unit cell a=3.074 b=3.074 c=5.370 alpha=90.00 beta=90.00 gamma=90.00
Atoms (fractional coordinates):
1 Ni 0.000 0.000 0.000
2 Ni 0.500 0.500 0.223
3 Ir 0.500 0.500 0.746
4 Se 0.000 0.000 0.443

Results
Magnetization   0.7 Bohr magnetons per cell

***

Q.
A plane-wave DFT calculation with SCAN was carried out for a PBEsol-optimized structure of Ni2IrSe.

Unit cell a=4.858 b=4.858 c=4.858 alpha=145.31 beta=127.59 gamma=64.39
Atoms (fractional coordinates):
1 Ni 0.226 0.226 0.000
2 Ni 0.774 0.774 0.000
3 Ir 0.500 0.000 0.500
4 Se 0.000 0.500 0.500

Results
Magnetization   0.0 Bohr magnetons per cell

***

Energetically preferred structure: P | next structure: +5.7 kJ/mol of atoms

***

P.
A plane-wave DFT calculation with SCAN was carried out for a PBEsol-optimized structure of Ni2IrSe.

Unit cell a=2.657 b=2.657 c=8.742 alpha=90.00 beta=90.00 gamma=118.79
Atoms (fractional coordinates):
1 Ni 0.000 0.000 0.000
2 Ni 0.500 0.500 0.225
3 Ir 0.500 0.500 0.762
4 Se 0.000 0.000 0.455

Results
Magnetization   1.5 Bohr magnetons per cell

***

Q.
A plane-wave DFT calculation with SCAN was carried out for a PBEsol-optimized structure of Ni2IrSe.

Unit cell a=2.880 b=4.072 c=4.349 alpha=90.00 beta=90.00 gamma=90.00
Atoms (fractional coordinates):
1 Ni 0.000 0.000 0.000
2 Ni 0.000 0.500 0.318
3 Ir 0.500 0.000 0.492
4 Se 0.500 0.500 0.844

Results
Magnetization   0.0 Bohr magnetons per cell

***

Energetically preferred structure: Q | next structure: +26.5 kJ/mol of atoms

***

P.
A plane-wave DFT calculation with SCAN was carried out for a PBEsol-optimized structure of TcNi2Ir.

Unit cell a=2.642 b=3.651 c=5.088 alpha=90.00 beta=90.00 gamma=90.00
Atoms (fractional coordinates):
1 Tc 0.000 0.000 0.000
2 Ni 0.000 0.000 0.519
3 Ni 0.500 0.500 0.746
4 Ir 0.500 0.500 0.254

Results
Magnetization   0.0 Bohr magnetons per cell

***

Q.
A plane-wave DFT calculation with SCAN was carried out for a PBEsol-optimized structure of TcNi2Ir.

Unit cell a=4.528 b=4.528 c=4.528 alpha=133.07 beta=133.07 gamma=68.54
Atoms (fractional coordinates):
1 Tc 0.000 0.000 0.000
2 Ni 0.250 0.750 0.500
3 Ni 0.500 0.500 0.000
4 Ir 0.750 0.250 0.500

Results
Magnetization   0.0 Bohr magnetons per cell

***

Energetically preferred structure: Q | next structure: +2.5 kJ/mol of atoms

***

P.
A plane-wave DFT calculation with SCAN was carried out for a PBEsol-optimized structure of Tc2NiIr.

Unit cell a=2.669 b=4.222 c=4.648 alpha=90.00 beta=90.00 gamma=90.00
Atoms (fractional coordinates):
1 Tc 0.000 0.000 0.000
2 Tc 0.000 0.500 0.330
3 Ni 0.500 0.000 0.491
4 Ir 0.500 0.500 0.814

Results
Magnetization   0.0 Bohr magnetons per cell

***

Q.
A plane-wave DFT calculation with SCAN was carried out for a PBEsol-optimized structure of Tc2NiIr.

Unit cell a=8.771 b=8.771 c=8.771 alpha=17.44 beta=17.44 gamma=17.44
Atoms (fractional coordinates):
1 Tc 0.247 0.247 0.247
2 Tc 0.753 0.753 0.753
3 Ni 0.500 0.500 0.500
4 Ir 0.000 0.000 0.000

Results
Magnetization   0.5 Bohr magnetons per cell

***

Energetically preferred structure: P | next structure: +23.0 kJ/mol of atoms

***

P.
A plane-wave DFT calculation with SCAN was carried out for a PBEsol-optimized structure of TlNiIr2.

Unit cell a=4.718 b=4.718 c=4.718 alpha=130.31 beta=130.31 gamma=72.91
Atoms (fractional coordinates):
1 Tl 0.000 0.000 0.000
2 Ni 0.250 0.750 0.500
3 Ir 0.500 0.500 0.000
4 Ir 0.750 0.250 0.500

Results
Magnetization   1.0 Bohr magnetons per cell

***

Q.
A plane-wave DFT calculation with SCAN was carried out for a PBEsol-optimized structure of TlNiIr2.

Unit cell a=4.649 b=4.649 c=2.891 alpha=90.00 beta=90.00 gamma=106.05
Atoms (fractional coordinates):
1 Tl 0.000 0.000 0.000
2 Ni 0.500 0.500 0.000
3 Ir 0.000 0.500 0.500
4 Ir 0.500 0.000 0.500

Results
Magnetization   0.0 Bohr magnetons per cell

***

R.
A plane-wave DFT calculation with SCAN was carried out for a PBEsol-optimized structure of TlNiIr2.

Unit cell a=4.679 b=4.679 c=4.831 alpha=100.58 beta=100.58 gamma=35.20
Atoms (fractional coordinates):
1 Tl 0.000 0.000 0.000
2 Ni 0.500 0.500 0.500
3 Ir 0.241 0.241 0.722
4 Ir 0.759 0.759 0.278

Results
Magnetization   1.0 Bohr magnetons per cell

***

Energetically preferred structure: R | next structure: +12.3 kJ/mol of atoms

***

P.
A plane-wave DFT calculation with SCAN was carried out for a PBEsol-optimized structure of NiIrW.

Unit cell a=4.094 b=4.094 c=4.094 alpha=60.00 beta=60.00 gamma=60.00
Atoms (fractional coordinates):
1 Ni 0.000 0.000 0.000
2 Ir 0.250 0.250 0.250
3 W 0.500 0.500 0.500

Results
Magnetization   0.0 Bohr magnetons per cell

***

Q.
A plane-wave DFT calculation with SCAN was carried out for a PBEsol-optimized structure of NiIrW.

Unit cell a=4.602 b=4.602 c=4.602 alpha=145.61 beta=132.51 gamma=59.94
Atoms (fractional coordinates):
1 Ni 0.000 0.000 0.000
2 Ir 0.335 0.335 0.000
3 W 0.665 0.665 0.000

Results
Magnetization   0.0 Bohr magnetons per cell

***

Energetically preferred structure: Q | next structure: +56.8 kJ/mol of atoms

***

P.
A plane-wave DFT calculation with SCAN was carried out for a PBEsol-optimized structure of YNiIr2.

Unit cell a=3.015 b=4.508 c=4.559 alpha=90.00 beta=90.00 gamma=90.00
Atoms (fractional coordinates):
1 Y 0.000 0.000 0.000
2 Ni 0.500 0.000 0.500
3 Ir 0.000 0.500 0.500
4 Ir 0.500 0.500 0.000

Results
Magnetization   0.0 Bohr magnetons per cell

***

Q.
A plane-wave DFT calculation with SCAN was carried out for a PBEsol-optimized structure of YNiIr2.

Unit cell a=2.831 b=3.844 c=5.758 alpha=90.00 beta=90.00 gamma=90.00
Atoms (fractional coordinates):
1 Y 0.000 0.000 0.000
2 Ni 0.500 0.500 0.722
3 Ir 0.000 0.000 0.507
4 Ir 0.500 0.500 0.297

Results
Magnetization   0.0 Bohr magnetons per cell

***

R.
A plane-wave DFT calculation with SCAN was carried out for a PBEsol-optimized structure of YNiIr2.

Unit cell a=5.426 b=5.426 c=5.426 alpha=149.20 beta=130.65 gamma=59.31
Atoms (fractional coordinates):
1 Y 0.000 0.000 0.000
2 Ni 0.500 0.500 0.000
3 Ir 0.276 0.776 0.500
4 Ir 0.724 0.224 0.500

Results
Magnetization   0.0 Bohr magnetons per cell

***

Energetically preferred structure: Q | next structure: +2.4 kJ/mol of atoms

***

P.
A plane-wave DFT calculation with SCAN was carried out for a PBEsol-optimized structure of Sr2IrO4.

Unit cell a=6.865 b=6.865 c=6.865 alpha=146.94 beta=146.94 gamma=47.45
Atoms (fractional coordinates):
1 Sr 0.146 0.146 0.000
2 Sr 0.854 0.854 0.000
3 Ir 0.500 0.500 0.000
4 O 0.000 0.500 0.500
5 O 0.337 0.337 0.000
6 O 0.500 0.000 0.500
7 O 0.663 0.663 0.000

Results
Magnetization   0.9 Bohr magnetons per cell

***

Q.
A plane-wave DFT calculation with SCAN was carried out for a PBEsol-optimized structure of Sr2IrO4.

Unit cell a=13.505 b=13.505 c=13.505 alpha=156.73 beta=156.73 gamma=33.15
Atoms (fractional coordinates):
1 Sr 0.050 0.300 0.750
2 Sr 0.200 0.450 0.750
3 Sr 0.300 0.050 0.250
4 Sr 0.450 0.200 0.250
5 Sr 0.550 0.800 0.750
6 Sr 0.700 0.950 0.750
7 Sr 0.800 0.550 0.250
8 Sr 0.950 0.700 0.250
9 Ir 0.125 0.875 0.250
10 Ir 0.375 0.625 0.750
11 Ir 0.625 0.375 0.250
12 Ir 0.875 0.125 0.750
13 O 0.045 0.795 0.250
14 O 0.065 0.815 0.629
15 O 0.185 0.315 0.250
16 O 0.205 0.955 0.250
17 O 0.295 0.545 0.750
18 O 0.315 0.565 0.129
19 O 0.435 0.065 0.750
20 O 0.455 0.705 0.750
21 O 0.545 0.295 0.250
22 O 0.565 0.935 0.250
23 O 0.685 0.435 0.871
24 O 0.705 0.455 0.250
25 O 0.795 0.045 0.750
26 O 0.815 0.685 0.750
27 O 0.935 0.185 0.371
28 O 0.955 0.205 0.750

Results
Magnetization   0.0 Bohr magnetons per cell

***

Energetically preferred structure: Q | next structure: +1.8 kJ/mol of atoms

***

P.
A plane-wave DFT calculation with SCAN was carried out for a PBEsol-optimized structure of IrOs2.

Unit cell a=11.775 b=11.775 c=11.775 alpha=161.29 beta=161.29 gamma=26.58
Atoms (fractional coordinates):
1 Ir 0.292 0.542 0.750
2 Ir 0.458 0.708 0.750
3 Ir 0.542 0.292 0.250
4 Ir 0.708 0.458 0.250
5 Os 0.042 0.792 0.250
6 Os 0.126 0.376 0.750
7 Os 0.208 0.958 0.250
8 Os 0.376 0.126 0.250
9 Os 0.624 0.874 0.750
10 Os 0.792 0.042 0.750
11 Os 0.874 0.624 0.250
12 Os 0.958 0.208 0.750

Results
Magnetization   0.0 Bohr magnetons per cell

***

Q.
A plane-wave DFT calculation with SCAN was carried out for a PBEsol-optimized structure of IrOs2.

Unit cell a=5.117 b=5.117 c=6.413 alpha=103.32 beta=103.32 gamma=30.90
Atoms (fractional coordinates):
1 Ir 0.000 0.000 0.000
2 Ir 0.670 0.670 0.340
3 Os 0.056 0.056 0.615
4 Os 0.334 0.334 0.669
5 Os 0.391 0.391 0.281
6 Os 0.724 0.724 0.947

Results
Magnetization   0.0 Bohr magnetons per cell

***

R.
A plane-wave DFT calculation with SCAN was carried out for a PBEsol-optimized structure of IrOs2.

Unit cell a=5.118 b=5.118 c=6.415 alpha=103.30 beta=103.30 gamma=30.88
Atoms (fractional coordinates):
1 Ir 0.027 0.027 0.305
2 Ir 0.973 0.973 0.695
3 Os 0.304 0.304 0.359
4 Os 0.359 0.359 0.970
5 Os 0.641 0.641 0.030
6 Os 0.696 0.696 0.641

Results
Magnetization   0.0 Bohr magnetons per cell

***

S.
A plane-wave DFT calculation with SCAN was carried out for a PBEsol-optimized structure of IrOs2.

Unit cell a=4.727 b=4.330 c=8.194 alpha=90.00 beta=90.00 gamma=90.00
Atoms (fractional coordinates):
1 Ir 0.165 0.250 0.166
2 Ir 0.335 0.750 0.666
3 Ir 0.665 0.250 0.334
4 Ir 0.835 0.750 0.834
5 Os 0.167 0.250 0.502
6 Os 0.169 0.250 0.833
7 Os 0.331 0.750 0.333
8 Os 0.333 0.750 0.002
9 Os 0.667 0.250 0.998
10 Os 0.669 0.250 0.667
11 Os 0.831 0.750 0.167
12 Os 0.833 0.750 0.498

Results
Magnetization   0.0 Bohr magnetons per cell

***

Energetically preferred structure: S | next structure: +0.7 kJ/mol of atoms